# 1
# K3RbNa (PBE, relaxed)
data_K3RbNa
_symmetry_space_group_name_H-M 'P 1'
_symmetry_Int_Tables_number 1
_cell_length_a 7.684
_cell_length_b 7.684
_cell_length_c 7.684
_cell_angle_alpha 90.00
_cell_angle_beta 90.00
_cell_angle_gamma 90.00
loop_
_symmetry_equiv_pos_as_xyz
'x,y,z'
loop_
_atom_site_label
_atom_site_fract_x
_atom_site_fract_y
_atom_site_fract_z
K1 0.000 0.000 0.500
K2 0.000 0.500 0.000
K3 0.500 0.000 0.000
Rb1 0.000 0.000 0.000
Na1 0.500 0.500 0.500
# **Total magnetic moment**: 0.00 μB per atom
# **Relative energy among the computed polymorphs**: 1.412 eV/f.u.
# **Final energy**: -0.804 eV/atom

# 2
# InGaPbO4 (PBE, relaxed)
data_InGaPbO4
_symmetry_space_group_name_H-M 'P 1'
_symmetry_Int_Tables_number 1
_cell_length_a 5.775
_cell_length_b 5.832
_cell_length_c 6.810
_cell_angle_alpha 90.00
_cell_angle_beta 105.09
_cell_angle_gamma 90.00
loop_
_symmetry_equiv_pos_as_xyz
'x,y,z'
loop_
_atom_site_label
_atom_site_fract_x
_atom_site_fract_y
_atom_site_fract_z
In1 0.182 0.250 0.052
In2 0.818 0.750 0.948
Ga1 0.284 0.750 0.841
Ga2 0.716 0.250 0.159
Pb1 0.277 0.250 0.584
Pb2 0.723 0.750 0.416
O1 0.052 0.515 0.811
O2 0.052 0.985 0.811
O3 0.491 0.250 0.910
O4 0.498 0.750 0.678
O5 0.502 0.250 0.322
O6 0.509 0.750 0.090
O7 0.948 0.015 0.189
O8 0.948 0.485 0.189
# **Total magnetic moment**: 0.00 μB per atom
# **Final energy**: -5.581 eV/atom
# **Formation energy (no corrections)**: -1.394 eV/atom

# 3
# MgPb3 (PBE, relaxed)
data_MgPb3
_symmetry_space_group_name_H-M 'P 1'
_symmetry_Int_Tables_number 1
_cell_length_a 6.210
_cell_length_b 6.210
_cell_length_c 6.210
_cell_angle_alpha 90.00
_cell_angle_beta 90.00
_cell_angle_gamma 90.00
loop_
_symmetry_equiv_pos_as_xyz
'x,y,z'
loop_
_atom_site_label
_atom_site_fract_x
_atom_site_fract_y
_atom_site_fract_z
Mg1 0.000 0.000 0.000
Mg2 0.500 0.500 0.500
Pb1 0.000 0.250 0.500
Pb2 0.000 0.750 0.500
Pb3 0.250 0.500 0.000
Pb4 0.500 0.000 0.250
Pb5 0.500 0.000 0.750
Pb6 0.750 0.500 0.000
# **Total magnetic moment**: 0.00 μB per atom
# **Final energy**: -3.097 eV/atom

# 4
# LaTeIr2 (PBE, relaxed)
data_LaTeIr2
_symmetry_space_group_name_H-M 'P 1'
_symmetry_Int_Tables_number 1
_cell_length_a 5.772
_cell_length_b 5.772
_cell_length_c 3.173
_cell_angle_alpha 105.50
_cell_angle_beta 105.50
_cell_angle_gamma 115.21
loop_
_symmetry_equiv_pos_as_xyz
'x,y,z'
loop_
_atom_site_label
_atom_site_fract_x
_atom_site_fract_y
_atom_site_fract_z
La1 0.000 0.000 0.000
Te1 0.500 0.500 0.000
Ir1 0.000 0.500 0.500
Ir2 0.500 0.000 0.500
# **Total magnetic moment**: 0.00 μB per atom
# **Final energy**: -6.392 eV/atom
# **Formation energy (no corrections)**: 0.055 eV/atom

# 5
# BaHgOs2 (PBE, relaxed)
data_BaHgOs2
_symmetry_space_group_name_H-M 'P 1'
_symmetry_Int_Tables_number 1
_cell_length_a 4.631
_cell_length_b 4.631
_cell_length_c 6.450
_cell_angle_alpha 110.97
_cell_angle_beta 110.97
_cell_angle_gamma 60.02
loop_
_symmetry_equiv_pos_as_xyz
'x,y,z'
loop_
_atom_site_label
_atom_site_fract_x
_atom_site_fract_y
_atom_site_fract_z
Ba1 0.000 0.000 0.000
Hg1 0.500 0.500 0.500
Os1 0.175 0.175 0.525
Os2 0.825 0.825 0.475
# **Total magnetic moment**: 0.00 μB per atom
# **Final energy**: -5.680 eV/atom

# 6
# BaPrPd4 (PBE, relaxed)
data_BaPrPd4
_symmetry_space_group_name_H-M 'P 1'
_symmetry_Int_Tables_number 1
_cell_length_a 5.641
_cell_length_b 5.641
_cell_length_c 5.641
_cell_angle_alpha 60.00
_cell_angle_beta 60.00
_cell_angle_gamma 60.00
loop_
_symmetry_equiv_pos_as_xyz
'x,y,z'
loop_
_atom_site_label
_atom_site_fract_x
_atom_site_fract_y
_atom_site_fract_z
Ba1 0.000 0.000 0.000
Pr1 0.250 0.250 0.250
Pd1 0.126 0.625 0.625
Pd2 0.625 0.126 0.625
Pd3 0.625 0.625 0.126
Pd4 0.625 0.625 0.625
# **Total magnetic moment**: 0.00 μB per atom
# **Final energy**: -5.179 eV/atom

# 7
# NaPaSnAu (PBE, relaxed)
data_NaPaSnAu
_symmetry_space_group_name_H-M 'P 1'
_symmetry_Int_Tables_number 1
_cell_length_a 5.155
_cell_length_b 5.155
_cell_length_c 5.155
_cell_angle_alpha 60.00
_cell_angle_beta 60.00
_cell_angle_gamma 60.00
loop_
_symmetry_equiv_pos_as_xyz
'x,y,z'
loop_
_atom_site_label
_atom_site_fract_x
_atom_site_fract_y
_atom_site_fract_z
Na1 0.000 0.000 0.000
Pa1 0.500 0.500 0.500
Sn1 0.750 0.750 0.750
Au1 0.250 0.250 0.250
# **Total magnetic moment**: 0.22 μB per atom
# **Final energy**: -4.676 eV/atom

# 8
# Dy4TcPt (PBE, relaxed)
data_Dy4TcPt
_symmetry_space_group_name_H-M 'P 1'
_symmetry_Int_Tables_number 1
_cell_length_a 7.436
_cell_length_b 4.365
_cell_length_c 18.368
_cell_angle_alpha 90.00
_cell_angle_beta 90.00
_cell_angle_gamma 90.00
loop_
_symmetry_equiv_pos_as_xyz
'x,y,z'
loop_
_atom_site_label
_atom_site_fract_x
_atom_site_fract_y
_atom_site_fract_z
Dy1 0.009 0.250 0.073
Dy2 0.070 0.250 0.781
Dy3 0.090 0.250 0.353
Dy4 0.149 0.250 0.543
Dy5 0.351 0.750 0.043
Dy6 0.410 0.750 0.853
Dy7 0.430 0.750 0.281
Dy8 0.491 0.750 0.573
Dy9 0.509 0.250 0.427
Dy10 0.570 0.250 0.719
Dy11 0.590 0.250 0.147
Dy12 0.649 0.250 0.957
Dy13 0.851 0.750 0.457
Dy14 0.910 0.750 0.647
Dy15 0.930 0.750 0.219
Dy16 0.991 0.750 0.927
Tc1 0.250 0.250 0.938
Tc2 0.250 0.750 0.438
Tc3 0.750 0.250 0.562
Tc4 0.750 0.750 0.062
Pt1 0.222 0.250 0.206
Pt2 0.278 0.750 0.706
Pt3 0.722 0.250 0.294
Pt4 0.778 0.750 0.794
# **Total magnetic moment**: 0.00 μB per atom
# **Final energy**: -6.315 eV/atom

# 9
# La2HBr (PBE, relaxed)
data_La2HBr
_symmetry_space_group_name_H-M 'P 1'
_symmetry_Int_Tables_number 1
_cell_length_a 5.114
_cell_length_b 5.114
_cell_length_c 5.114
_cell_angle_alpha 60.00
_cell_angle_beta 60.00
_cell_angle_gamma 60.00
loop_
_symmetry_equiv_pos_as_xyz
'x,y,z'
loop_
_atom_site_label
_atom_site_fract_x
_atom_site_fract_y
_atom_site_fract_z
La1 0.250 0.250 0.250
La2 0.750 0.750 0.750
H1 0.000 0.000 0.000
Br1 0.500 0.500 0.500
# **Total magnetic moment**: 0.00 μB per atom
# **Relative energy among the computed polymorphs**: 1.834 eV/f.u.
# **Final energy**: -4.117 eV/atom

# 10
# LaPm6Pr2Tm (PBE, relaxed)
data_LaPm6Pr2Tm
_symmetry_space_group_name_H-M 'P 1'
_symmetry_Int_Tables_number 1
_cell_length_a 8.983
_cell_length_b 8.983
_cell_length_c 9.879
_cell_angle_alpha 94.02
_cell_angle_beta 94.02
_cell_angle_gamma 117.81
loop_
_symmetry_equiv_pos_as_xyz
'x,y,z'
loop_
_atom_site_label
_atom_site_fract_x
_atom_site_fract_y
_atom_site_fract_z
La1 0.019 0.981 0.750
La2 0.981 0.019 0.250
Pm1 0.014 0.568 0.688
Pm2 0.122 0.744 0.056
Pm3 0.256 0.878 0.444
Pm4 0.296 0.507 0.882
Pm5 0.432 0.986 0.812
Pm6 0.493 0.704 0.618
Pm7 0.507 0.296 0.382
Pm8 0.568 0.014 0.188
Pm9 0.704 0.493 0.118
Pm10 0.744 0.122 0.556
Pm11 0.878 0.256 0.944
Pm12 0.986 0.432 0.312
Pr1 0.197 0.298 0.544
Pr2 0.298 0.197 0.044
Pr3 0.702 0.803 0.956
Pr4 0.803 0.702 0.456
Tm1 0.409 0.591 0.250
Tm2 0.591 0.409 0.750
# **Total magnetic moment**: 0.00 μB per atom
# **Final energy**: -4.635 eV/atom

# 11
# Ta2InTc (PBE, relaxed)
data_Ta2InTc
_symmetry_space_group_name_H-M 'P 1'
_symmetry_Int_Tables_number 1
_cell_length_a 6.050
_cell_length_b 6.050
_cell_length_c 6.050
_cell_angle_alpha 102.08
_cell_angle_beta 102.08
_cell_angle_gamma 125.54
loop_
_symmetry_equiv_pos_as_xyz
'x,y,z'
loop_
_atom_site_label
_atom_site_fract_x
_atom_site_fract_y
_atom_site_fract_z
Ta1 0.072 0.625 0.947
Ta2 0.375 0.322 0.447
Ta3 0.678 0.125 0.053
Ta4 0.875 0.928 0.553
In1 0.250 0.750 0.500
In2 0.500 0.500 0.000
Tc1 0.000 0.000 0.000
Tc2 0.750 0.250 0.500
# **Total magnetic moment**: 0.00 μB per atom
# **Final energy**: -8.650 eV/atom

# 12
# SrGaIBr4 (PBE, relaxed)
data_SrGaIBr4
_symmetry_space_group_name_H-M 'P 1'
_symmetry_Int_Tables_number 1
_cell_length_a 9.340
_cell_length_b 9.340
_cell_length_c 9.837
_cell_angle_alpha 90.89
_cell_angle_beta 90.89
_cell_angle_gamma 46.20
loop_
_symmetry_equiv_pos_as_xyz
'x,y,z'
loop_
_atom_site_label
_atom_site_fract_x
_atom_site_fract_y
_atom_site_fract_z
Sr1 0.135 0.135 0.495
Sr2 0.865 0.865 0.505
Ga1 0.327 0.327 0.744
Ga2 0.673 0.673 0.256
I1 0.004 0.004 0.723
I2 0.996 0.996 0.277
Br1 0.015 0.504 0.297
Br2 0.386 0.386 0.954
Br3 0.405 0.405 0.548
Br4 0.496 0.985 0.703
Br5 0.504 0.015 0.297
Br6 0.595 0.595 0.452
Br7 0.614 0.614 0.046
Br8 0.985 0.496 0.703
# **Total magnetic moment**: 0.01 μB per atom
# **Final energy**: -3.107 eV/atom
# **Formation energy (no corrections)**: -1.257 eV/atom

# 13
# Zr4ReTc2 (PBE, relaxed)
data_Zr4ReTc2
_symmetry_space_group_name_H-M 'P 1'
_symmetry_Int_Tables_number 1
_cell_length_a 5.667
_cell_length_b 5.667
_cell_length_c 5.667
_cell_angle_alpha 109.62
_cell_angle_beta 109.62
_cell_angle_gamma 109.17
loop_
_symmetry_equiv_pos_as_xyz
'x,y,z'
loop_
_atom_site_label
_atom_site_fract_x
_atom_site_fract_y
_atom_site_fract_z
Zr1 0.000 0.000 0.500
Zr2 0.000 0.500 0.000
Zr3 0.500 0.000 0.000
Zr4 0.500 0.500 0.500
Re1 0.000 0.000 0.000
Tc1 0.000 0.500 0.500
Tc2 0.500 0.000 0.500
# **Total magnetic moment**: 0.00 μB per atom
# **Final energy**: -9.742 eV/atom

# 14
# HfV6Ga6 (PBE, relaxed)
data_HfV6Ga6
_symmetry_space_group_name_H-M 'P 1'
_symmetry_Int_Tables_number 1
_cell_length_a 6.778
_cell_length_b 6.778
_cell_length_c 6.778
_cell_angle_alpha 135.48
_cell_angle_beta 98.65
_cell_angle_gamma 97.85
loop_
_symmetry_equiv_pos_as_xyz
'x,y,z'
loop_
_atom_site_label
_atom_site_fract_x
_atom_site_fract_y
_atom_site_fract_z
Hf1 0.000 0.000 0.000
V1 0.000 0.000 0.500
V2 0.000 0.500 0.000
V3 0.242 0.742 0.500
V4 0.500 0.000 0.000
V5 0.500 0.500 0.500
V6 0.758 0.258 0.500
Ga1 0.172 0.500 0.672
Ga2 0.315 0.315 0.000
Ga3 0.339 0.000 0.339
Ga4 0.661 0.000 0.661
Ga5 0.685 0.685 0.000
Ga6 0.828 0.500 0.328
# **Total magnetic moment**: 0.00 μB per atom
# **Final energy**: -6.594 eV/atom

# 15
# CaSn2As (PBE, relaxed)
data_CaSn2As
_symmetry_space_group_name_H-M 'P 1'
_symmetry_Int_Tables_number 1
_cell_length_a 4.459
_cell_length_b 4.459
_cell_length_c 5.079
_cell_angle_alpha 90.00
_cell_angle_beta 90.00
_cell_angle_gamma 90.00
loop_
_symmetry_equiv_pos_as_xyz
'x,y,z'
loop_
_atom_site_label
_atom_site_fract_x
_atom_site_fract_y
_atom_site_fract_z
Ca1 0.000 0.000 0.000
Sn1 0.000 0.500 0.500
Sn2 0.500 0.000 0.500
As1 0.500 0.500 0.000
# **Total magnetic moment**: 0.00 μB per atom
# **Final energy**: -4.056 eV/atom

# 16
# NaAcPmBi (PBE, relaxed)
data_NaAcPmBi
_symmetry_space_group_name_H-M 'P 1'
_symmetry_Int_Tables_number 1
_cell_length_a 5.734
_cell_length_b 5.734
_cell_length_c 5.734
_cell_angle_alpha 60.00
_cell_angle_beta 60.00
_cell_angle_gamma 60.00
loop_
_symmetry_equiv_pos_as_xyz
'x,y,z'
loop_
_atom_site_label
_atom_site_fract_x
_atom_site_fract_y
_atom_site_fract_z
Na1 0.000 0.000 0.000
Ac1 0.750 0.750 0.750
Pm1 0.250 0.250 0.250
Bi1 0.500 0.500 0.500
# **Total magnetic moment**: 0.00 μB per atom
# **Final energy**: -3.761 eV/atom

# 17
# LaTb14Pu (PBE, relaxed)
data_LaTb14Pu
_symmetry_space_group_name_H-M 'P 1'
_symmetry_Int_Tables_number 1
_cell_length_a 7.137
_cell_length_b 7.137
_cell_length_c 10.042
_cell_angle_alpha 90.00
_cell_angle_beta 90.00
_cell_angle_gamma 90.00
loop_
_symmetry_equiv_pos_as_xyz
'x,y,z'
loop_
_atom_site_label
_atom_site_fract_x
_atom_site_fract_y
_atom_site_fract_z
La1 0.000 0.000 0.000
Tb1 0.000 0.000 0.500
Tb2 0.000 0.500 0.000
Tb3 0.000 0.500 0.500
Tb4 0.253 0.253 0.250
Tb5 0.253 0.253 0.750
Tb6 0.253 0.747 0.250
Tb7 0.253 0.747 0.750
Tb8 0.500 0.000 0.000
Tb9 0.500 0.000 0.500
Tb10 0.500 0.500 0.500
Tb11 0.747 0.253 0.250
Tb12 0.747 0.253 0.750
Tb13 0.747 0.747 0.250
Tb14 0.747 0.747 0.750
Pu1 0.500 0.500 0.000
# **Total magnetic moment**: 0.40 μB per atom
# **Final energy**: -5.213 eV/atom

# 18
# Pm3Ir2Rh7 (PBE, relaxed)
data_Pm3Ir2Rh7
_symmetry_space_group_name_H-M 'P 1'
_symmetry_Int_Tables_number 1
_cell_length_a 9.374
_cell_length_b 9.374
_cell_length_c 9.374
_cell_angle_alpha 33.01
_cell_angle_beta 33.01
_cell_angle_gamma 33.01
loop_
_symmetry_equiv_pos_as_xyz
'x,y,z'
loop_
_atom_site_label
_atom_site_fract_x
_atom_site_fract_y
_atom_site_fract_z
Pm1 0.000 0.000 0.000
Pm2 0.139 0.139 0.139
Pm3 0.861 0.861 0.861
Ir1 0.333 0.333 0.333
Ir2 0.667 0.667 0.667
Rh1 0.083 0.581 0.581
Rh2 0.419 0.419 0.917
Rh3 0.419 0.917 0.419
Rh4 0.500 0.500 0.500
Rh5 0.581 0.083 0.581
Rh6 0.581 0.581 0.083
Rh7 0.917 0.419 0.419
# **Total magnetic moment**: 0.00 μB per atom
# **Final energy**: -7.444 eV/atom

# 19
# TaBeNi6 (PBE, relaxed)
data_TaBeNi6
_symmetry_space_group_name_H-M 'P 1'
_symmetry_Int_Tables_number 1
_cell_length_a 6.177
_cell_length_b 6.177
_cell_length_c 10.112
_cell_angle_alpha 90.00
_cell_angle_beta 90.00
_cell_angle_gamma 110.35
loop_
_symmetry_equiv_pos_as_xyz
'x,y,z'
loop_
_atom_site_label
_atom_site_fract_x
_atom_site_fract_y
_atom_site_fract_z
Ta1 0.000 0.000 0.242
Ta2 0.000 0.000 0.758
Ta3 0.243 0.757 0.500
Ta4 0.757 0.243 0.500
Be1 0.235 0.765 0.000
Be2 0.500 0.500 0.237
Be3 0.500 0.500 0.763
Be4 0.765 0.235 0.000
Ni1 0.000 0.000 0.000
Ni2 0.000 0.000 0.500
Ni3 0.132 0.387 0.120
Ni4 0.132 0.387 0.880
Ni5 0.138 0.383 0.370
Ni6 0.138 0.383 0.630
Ni7 0.251 0.749 0.242
Ni8 0.251 0.749 0.758
Ni9 0.383 0.138 0.370
Ni10 0.383 0.138 0.630
Ni11 0.387 0.132 0.120
Ni12 0.387 0.132 0.880
Ni13 0.500 0.500 0.000
Ni14 0.500 0.500 0.500
Ni15 0.613 0.868 0.120
Ni16 0.613 0.868 0.880
Ni17 0.617 0.862 0.370
Ni18 0.617 0.862 0.630
Ni19 0.749 0.251 0.242
Ni20 0.749 0.251 0.758
Ni21 0.862 0.617 0.370
Ni22 0.862 0.617 0.630
Ni23 0.868 0.613 0.120
Ni24 0.868 0.613 0.880
# **Total magnetic moment**: 0.05 μB per atom
# **Final energy**: -6.554 eV/atom

# 20
# NdUSb (PBE, relaxed)
data_NdUSb
_symmetry_space_group_name_H-M 'P 1'
_symmetry_Int_Tables_number 1
_cell_length_a 8.750
_cell_length_b 8.750
_cell_length_c 4.827
_cell_angle_alpha 92.25
_cell_angle_beta 92.25
_cell_angle_gamma 26.33
loop_
_symmetry_equiv_pos_as_xyz
'x,y,z'
loop_
_atom_site_label
_atom_site_fract_x
_atom_site_fract_y
_atom_site_fract_z
Nd1 0.074 0.074 0.252
Nd2 0.926 0.926 0.748
U1 0.258 0.258 0.672
U2 0.742 0.742 0.328
Sb1 0.391 0.391 0.236
Sb2 0.609 0.609 0.764
# **Total magnetic moment**: 0.65 μB per atom
# **Final energy**: -7.177 eV/atom
# **Formation energy (no corrections)**: -0.451 eV/atom

# 21
# Ho2Al3Si (PBE, relaxed)
data_Ho2Al3Si
_symmetry_space_group_name_H-M 'P 1'
_symmetry_Int_Tables_number 1
_cell_length_a 3.827
_cell_length_b 4.312
_cell_length_c 7.468
_cell_angle_alpha 90.00
_cell_angle_beta 90.00
_cell_angle_gamma 90.00
loop_
_symmetry_equiv_pos_as_xyz
'x,y,z'
loop_
_atom_site_label
_atom_site_fract_x
_atom_site_fract_y
_atom_site_fract_z
Ho1 0.000 0.000 0.000
Ho2 0.000 0.500 0.479
Al1 0.500 0.000 0.650
Al2 0.500 0.500 0.159
Al3 0.500 0.500 0.821
Si1 0.500 0.000 0.322
# **Total magnetic moment**: 0.00 μB per atom
# **Final energy**: -4.810 eV/atom
# **Formation energy (no corrections)**: -0.509 eV/atom

# 22
# Pr2Dy2Tl3 (PBE, relaxed)
data_Pr2Dy2Tl3
_symmetry_space_group_name_H-M 'P 1'
_symmetry_Int_Tables_number 1
_cell_length_a 16.480
_cell_length_b 16.480
_cell_length_c 3.607
_cell_angle_alpha 90.00
_cell_angle_beta 90.00
_cell_angle_gamma 167.51
loop_
_symmetry_equiv_pos_as_xyz
'x,y,z'
loop_
_atom_site_label
_atom_site_fract_x
_atom_site_fract_y
_atom_site_fract_z
Pr1 0.070 0.930 0.000
Pr2 0.930 0.070 0.000
Dy1 0.203 0.797 0.000
Dy2 0.797 0.203 0.000
Tl1 0.360 0.640 0.500
Tl2 0.500 0.500 0.500
Tl3 0.640 0.360 0.500
# **Total magnetic moment**: 0.10 μB per atom
# **Relative energy among the computed polymorphs**: 0.129 eV/f.u.
# **Final energy**: -3.930 eV/atom